PmNd6Cd2 (PBE, optimized geometry); E_form = -0.62 eV per formula unit; VASP energy = -35.8 eV/f.u.; V = 577.2 Å³ per cell; DOS at the Fermi energy = 11.46 states/eV/f.u.
1.0
7.913 -5.868 0.000
7.913 5.868 0.000
-0.670 0.000 6.215
Pm Nd Cd
2 12 4
direct
0.105 0.895 0.750 Pm
0.895 0.105 0.250 Pm
0.032 0.732 0.189 Nd
0.099 0.353 0.335 Nd
0.268 0.968 0.311 Nd
0.319 0.566 0.491 Nd
0.353 0.099 0.835 Nd
0.434 0.681 0.009 Nd
0.566 0.319 0.991 Nd
0.647 0.901 0.165 Nd
0.681 0.434 0.509 Nd
0.732 0.032 0.689 Nd
0.901 0.647 0.665 Nd
0.968 0.268 0.811 Nd
0.211 0.461 0.906 Cd
0.461 0.211 0.406 Cd
0.539 0.789 0.594 Cd
0.789 0.539 0.094 Cd

---

PmNdCd17 (PBE, optimized geometry); E_form = -2.88 eV per formula unit; VASP energy = -28.0 eV/f.u.; V = 440.6 Å³ per cell; DOS at the Fermi energy = 4.29 states/eV/f.u.
1.0
5.046 2.913 4.995
-5.046 2.913 4.995
0.000 -5.827 4.995
Pm Nd Cd
1 1 17
direct
0.000 0.000 0.000 Pm
0.661 0.661 0.661 Nd
0.028 0.328 0.631 Cd
0.028 0.631 0.328 Cd
0.142 0.697 0.697 Cd
0.226 0.226 0.226 Cd
0.328 0.028 0.631 Cd
0.328 0.631 0.028 Cd
0.342 0.342 0.814 Cd
0.342 0.814 0.342 Cd
0.426 0.426 0.426 Cd
0.468 0.979 0.979 Cd
0.631 0.028 0.328 Cd
0.631 0.328 0.028 Cd
0.697 0.142 0.697 Cd
0.697 0.697 0.142 Cd
0.814 0.342 0.342 Cd
0.979 0.468 0.979 Cd
0.979 0.979 0.468 Cd